Rb4Fe2O5 | Alexandria via LeMat-Bulk | PBE with a Hubbard U | relaxed; uncorrected energy = -5.0617 eV per atom; spin magnetization = 20.0 μB per cell
1.0
-8.239 3.012 4.073
4.659 -8.433 -0.850
2.662 0.049 6.861
Rb O Fe
8 10 4
direct
0.468 0.827 0.888
0.467 0.533 0.250
0.173 0.532 0.612
0.980 0.020 0.750
0.827 0.468 0.388
0.020 0.980 0.250
0.533 0.467 0.750
0.532 0.173 0.112
0.797 0.642 0.041
0.642 0.797 0.541
0.000 0.500 0.000
0.725 0.023 0.133
0.977 0.275 0.367
0.358 0.203 0.459
0.500 0.000 0.500
0.203 0.358 0.959
0.275 0.977 0.867
0.023 0.725 0.633
0.306 0.996 0.595
0.004 0.694 0.905
0.694 0.004 0.405
0.996 0.306 0.095